[1]
A relaxed structure of KRb3In8. Source: Alexandria, functional GGA-PBE.

Properties
Symmetry ... No. 160
Formation energy ... -0.080 eV/atom
Crystal system ... trigonal
Mass density ... 5.044 g/cm3
Energy ... -26.87 eV per cell

a b c (Å): 11.275 11.275 11.275
angles (deg): 34.00 34.00 34.00
Atoms (fractional coordinates):
K: 0.000 0.000 0.000
Rb: 0.376 0.376 0.376
Rb: 0.500 0.500 0.500
Rb: 0.876 0.876 0.876
In: 0.188 0.188 0.188
In: 0.436 0.938 0.938
In: 0.438 0.438 0.939
In: 0.438 0.939 0.438
In: 0.687 0.687 0.687
In: 0.938 0.436 0.938
In: 0.938 0.938 0.436
In: 0.939 0.438 0.438

=====

[2]
A relaxed structure of K7Rb3In. Source: Alexandria, functional GGA-PBE.

Properties
Symmetry ... No. 8
Formation energy ... 0.032 eV/atom
Crystal system ... monoclinic
Mass density ... 1.371 g/cm3
Energy ... -12.97 eV per cell

a b c (Å): 8.568 8.568 11.944
angles (deg): 95.65 95.65 114.98
Atoms (fractional coordinates):
K: 0.000 0.000 0.000
K: 0.286 0.824 0.445
K: 0.518 0.518 0.126
K: 0.534 0.999 0.133
K: 0.824 0.286 0.445
K: 0.829 0.829 0.592
K: 0.999 0.534 0.133
Rb: 0.232 0.577 0.786
Rb: 0.313 0.313 0.414
Rb: 0.577 0.232 0.786
In: 0.896 0.896 0.292

=====

[3]
A relaxed structure of K3Rb7In. Source: Alexandria, functional GGA-PBE.

Properties
Symmetry ... No. 8
Formation energy ... 0.065 eV/atom
Crystal system ... monoclinic
Mass density ... 1.520 g/cm3
Energy ... -12.09 eV per cell

a b c (Å): 9.699 9.699 11.105
angles (deg): 110.51 110.51 75.62
Atoms (fractional coordinates):
K: 0.000 0.000 0.000
K: 0.280 0.661 0.751
K: 0.661 0.280 0.751
Rb: 0.109 0.480 0.986
Rb: 0.218 0.825 0.404
Rb: 0.276 0.276 0.377
Rb: 0.480 0.109 0.986
Rb: 0.668 0.668 0.166
Rb: 0.713 0.713 0.623
Rb: 0.825 0.218 0.404
In: 0.476 0.476 0.285

=====

[4]
A relaxed structure of K3RbIn. Source: Alexandria, functional GGA-PBE.

Properties
Symmetry ... No. 15
Formation energy ... -0.012 eV/atom
Crystal system ... monoclinic
Mass density ... 1.737 g/cm3
Offset from the most stable computed form ... 0.00 eV per formula unit
Energy ... -28.23 eV per cell

a b c (Å): 11.097 11.097 10.095
angles (deg): 96.82 96.82 96.85
Atoms (fractional coordinates):
K: 0.022 0.338 0.556
K: 0.057 0.659 0.882
K: 0.327 0.376 0.892
K: 0.338 0.022 0.056
K: 0.341 0.943 0.618
K: 0.376 0.327 0.392
K: 0.624 0.673 0.608
K: 0.659 0.057 0.382
K: 0.662 0.978 0.944
K: 0.673 0.624 0.108
K: 0.943 0.341 0.118
K: 0.978 0.662 0.444
Rb: 0.018 0.982 0.250
Rb: 0.328 0.672 0.250
Rb: 0.672 0.328 0.750
Rb: 0.982 0.018 0.750
In: 0.280 0.597 0.622
In: 0.403 0.720 0.878
In: 0.597 0.280 0.122
In: 0.720 0.403 0.378

=====

Please write out number 2 again, unchanged.
A relaxed structure of K7Rb3In. Source: Alexandria, functional GGA-PBE.

Properties
Symmetry ... No. 8
Formation energy ... 0.032 eV/atom
Crystal system ... monoclinic
Mass density ... 1.371 g/cm3
Energy ... -12.97 eV per cell

a b c (Å): 8.568 8.568 11.944
angles (deg): 95.65 95.65 114.98
Atoms (fractional coordinates):
K: 0.000 0.000 0.000
K: 0.286 0.824 0.445
K: 0.518 0.518 0.126
K: 0.534 0.999 0.133
K: 0.824 0.286 0.445
K: 0.829 0.829 0.592
K: 0.999 0.534 0.133
Rb: 0.232 0.577 0.786
Rb: 0.313 0.313 0.414
Rb: 0.577 0.232 0.786
In: 0.896 0.896 0.292

=====

Question: Which of these has the lowest energy?
Answer: K3RbIn